# 1
Pm4DyHoTm2 after structural relaxation. Source: Alexandria via LeMat-Bulk, functional PBE.

Volume   259.04 Å³ per cell
Symmetry   Pmmm, No. 47
ΔE_f   0.018 eV/atom
Raw total energy   -0.3398 Ry per atom

a = 5.079 Å, b = 5.099 Å, c = 10.002 Å
α = 90.00°, β = 90.00°, γ = 90.00°
Element x y z (fractional)
Pm  0.000  0.000  0.250
Pm  0.000  0.000  0.750
Pm  0.500  0.500  0.250
Pm  0.500  0.500  0.750
Dy  0.000  0.500  0.000
Ho  0.500  0.000  0.500
Tm  0.000  0.500  0.500
Tm  0.500  0.000  0.000

# 2
NaMgHgSb after structural relaxation. Source: Alexandria via LeMat-Bulk, functional PBE.

Volume   392.71 Å³ per cell
Symmetry   F-43m, No. 216
Uncorrected formation energy   -0.32 eV/atom
Raw total energy   -0.1582 Ry per atom

a = 7.323 Å, b = 7.323 Å, c = 7.323 Å
α = 90.00°, β = 90.00°, γ = 90.00°
Element x y z (fractional)
Na  0.000  0.000  0.000
Na  0.000  0.500  0.500
Na  0.500  0.000  0.500
Na  0.500  0.500  0.000
Mg  0.000  0.000  0.500
Mg  0.000  0.500  0.000
Mg  0.500  0.000  0.000
Mg  0.500  0.500  0.500
Hg  0.250  0.250  0.750
Hg  0.250  0.750  0.250
Hg  0.750  0.250  0.250
Hg  0.750  0.750  0.750
Sb  0.250  0.250  0.250
Sb  0.250  0.750  0.750
Sb  0.750  0.250  0.750
Sb  0.750  0.750  0.250

# 3
Ac3Cu2Si2 after structural relaxation. Source: Alexandria via LeMat-Bulk, functional PBE.

Volume   366.49 Å³ per cell
Symmetry   C2/m, No. 12
Uncorrected formation energy   -0.41 eV/atom
Raw total energy   -0.3594 Ry per atom

a = 11.577 Å, b = 4.585 Å, c = 7.448 Å
α = 90.00°, β = 112.03°, γ = 90.00°
Element x y z (fractional)
Ac  0.000  0.000  0.000
Ac  0.184  0.000  0.633
Ac  0.316  0.500  0.367
Ac  0.500  0.500  0.000
Ac  0.684  0.500  0.633
Ac  0.816  0.000  0.367
Cu  0.194  0.500  0.921
Cu  0.306  0.000  0.079
Cu  0.694  0.000  0.921
Cu  0.806  0.500  0.079
Si  0.014  0.500  0.342
Si  0.486  0.000  0.658
Si  0.514  0.000  0.342
Si  0.986  0.500  0.658

# 4
YLuInAu after structural relaxation. Source: Alexandria via LeMat-Bulk, functional PBE.

Volume   391.54 Å³ per cell
Symmetry   F-43m, No. 216
ΔE_f   -0.627 eV/atom
Raw total energy   -0.3585 Ry per atom

a = 7.316 Å, b = 7.316 Å, c = 7.316 Å
α = 90.00°, β = 90.00°, γ = 90.00°
Element x y z (fractional)
Y  0.000  0.000  0.000
Y  0.000  0.500  0.500
Y  0.500  0.000  0.500
Y  0.500  0.500  0.000
Lu  0.000  0.000  0.500
Lu  0.000  0.500  0.000
Lu  0.500  0.000  0.000
Lu  0.500  0.500  0.500
In  0.250  0.250  0.750
In  0.250  0.750  0.250
In  0.750  0.250  0.250
In  0.750  0.750  0.750
Au  0.250  0.250  0.250
Au  0.250  0.750  0.750
Au  0.750  0.250  0.750
Au  0.750  0.750  0.250

# 5
Li3SmHg4 after structural relaxation. Source: Alexandria via LeMat-Bulk, functional PBE.

Volume   169.61 Å³ per cell
Symmetry   R-3m, No. 166
ΔE_f   -0.380 eV/atom
Raw total energy   -0.1351 Ry per atom

a = 8.880 Å, b = 8.880 Å, c = 8.880 Å
α = 31.49°, β = 31.49°, γ = 31.49°
Element x y z (fractional)
Li  0.000  0.000  0.000
Li  0.258  0.258  0.258
Li  0.742  0.742  0.742
Sm  0.500  0.500  0.500
Hg  0.111  0.111  0.111
Hg  0.372  0.372  0.372
Hg  0.628  0.628  0.628
Hg  0.889  0.889  0.889

# 6
Mg2SbS after structural relaxation. Source: Alexandria via LeMat-Bulk, functional PBE.

Volume   453.31 Å³ per cell
Symmetry   I-42d, No. 122
Uncorrected formation energy   -0.63 eV/atom
Raw total energy   -0.2561 Ry per atom

a = 6.412 Å, b = 6.412 Å, c = 11.027 Å
α = 90.00°, β = 90.00°, γ = 90.00°
Element x y z (fractional)
Mg  0.197  0.250  0.125
Mg  0.250  0.697  0.375
Mg  0.250  0.803  0.875
Mg  0.303  0.250  0.625
Mg  0.697  0.750  0.625
Mg  0.750  0.197  0.875
Mg  0.750  0.303  0.375
Mg  0.803  0.750  0.125
Sb  0.000  0.000  0.500
Sb  0.000  0.500  0.750
Sb  0.500  0.000  0.250
Sb  0.500  0.500  0.000
S  0.000  0.000  0.000
S  0.000  0.500  0.250
S  0.500  0.000  0.750
S  0.500  0.500  0.500

Copy entry 5 word for word.
Li3SmHg4 after structural relaxation. Source: Alexandria via LeMat-Bulk, functional PBE.

Volume   169.61 Å³ per cell
Symmetry   R-3m, No. 166
ΔE_f   -0.380 eV/atom
Raw total energy   -0.1351 Ry per atom

a = 8.880 Å, b = 8.880 Å, c = 8.880 Å
α = 31.49°, β = 31.49°, γ = 31.49°
Element x y z (fractional)
Li  0.000  0.000  0.000
Li  0.258  0.258  0.258
Li  0.742  0.742  0.742
Sm  0.500  0.500  0.500
Hg  0.111  0.111  0.111
Hg  0.372  0.372  0.372
Hg  0.628  0.628  0.628
Hg  0.889  0.889  0.889